No. 1
Material: Lu2Mo
Method: DFT, PBE
State: optimized geometry

Output
- ΔH_f (0 K) (meV/atom) = 1053

Cell lengths 5.8031, 5.8031, 5.8031 Å; angles 60.00, 60.00, 60.00 degrees
With the nearest neighbours (Å) after each atom.
Atoms (fractional coordinates):
1 Lu 0.0000 0.0000 0.0000  6 Lu 2.90
2 Lu 0.0000 0.0000 0.5000  6 Lu 2.90
3 Lu 0.0000 0.5000 0.0000  6 Lu 2.90
4 Lu 0.5000 0.0000 0.0000  6 Lu 2.90
5 Mo 0.3750 0.3750 0.3750  12 Lu 3.40, 4 Mo 3.55
6 Mo 0.6250 0.6250 0.6250  12 Lu 3.40, 4 Mo 3.55


No. 2
Material: Lu2Mo
Method: DFT, PBE
State: optimized geometry

Output
- ΔH_f (0 K) (meV/atom) = 2051

Cell lengths 8.2148, 8.2148, 8.2148 Å; angles 60.00, 60.00, 60.00 degrees
With the nearest neighbours (Å) after each atom.
Atoms (fractional coordinates):
1 Lu 0.0000 0.0000 0.0000  2 Mo 2.52
2 Lu 0.0000 0.0000 0.5000  2 Mo 2.52
3 Lu 0.0000 0.5000 0.0000  2 Mo 2.52
4 Lu 0.5000 0.0000 0.0000  2 Mo 2.52
5 Mo 0.1250 0.1250 0.1250  4 Lu 2.52
6 Mo 0.8750 0.8750 0.8750  4 Lu 2.52


No. 3
Material: Lu4Mo2N
Method: DFT, PBE
State: optimized geometry

Cell lengths 9.3130, 10.8499, 3.1979 Å; angles 90.00, 90.60, 90.00 degrees
With the nearest neighbours (Å) after each atom.
Atoms (fractional coordinates):
1 Lu 0.0000 0.2340 0.0000  1 N 2.54, 4 Mo 2.82-2.84
2 Lu 0.0000 0.7660 0.0000  1 N 2.54, 4 Mo 2.82-2.84
3 Lu 0.1775 0.0000 0.5081  2 N 2.29-2.31
4 Lu 0.3225 0.5000 0.4919  2 N 2.29-2.31
5 Lu 0.5000 0.2660 0.0000  1 N 2.54, 4 Mo 2.82-2.84
6 Lu 0.5000 0.7340 0.0000  1 N 2.54, 4 Mo 2.82-2.84
7 Lu 0.6775 0.5000 0.5081  2 N 2.29-2.31
8 Lu 0.8225 0.0000 0.4919  2 N 2.29-2.31
9 Mo 0.2500 0.2500 0.5000  6 Lu 2.80-2.84
10 Mo 0.2500 0.7500 0.5000  6 Lu 2.80-2.84
11 Mo 0.7500 0.2500 0.5000  6 Lu 2.80-2.84
12 Mo 0.7500 0.7500 0.5000  6 Lu 2.80-2.84
13 N 0.0000 0.0000 0.0000  6 Lu 2.29-2.54
14 N 0.5000 0.5000 0.0000  6 Lu 2.29-2.54


No. 4
Material: Lu2Ni3Mo4N3
Method: DFT, PBE
State: optimized geometry

Cell lengths 5.3421, 5.3421, 13.1779 Å; angles 101.24, 101.24, 60.39 degrees
With the nearest neighbours (Å) after each atom.
Atoms (fractional coordinates):
1 Lu 0.0396 0.8790 0.6230  3 N 2.28-2.40
2 Lu 0.1210 0.9604 0.8770  3 N 2.28-2.40
3 Lu 0.8790 0.0396 0.1230  3 N 2.28-2.40
4 Lu 0.9604 0.1210 0.3770  3 N 2.28-2.40
5 Ni 0.0843 0.4028 0.7500  4 Mo 2.65-2.70, 4 Ni 2.67-2.69
6 Ni 0.4028 0.0843 0.2500  4 Mo 2.65-2.70, 4 Ni 2.67-2.69
7 Ni 0.4277 0.5723 0.2500  4 Mo 2.65-2.66, 4 Ni 2.67-2.68
8 Ni 0.5723 0.4277 0.7500  4 Mo 2.65-2.66, 4 Ni 2.67-2.68
9 Ni 0.5972 0.9157 0.7500  4 Mo 2.65-2.70, 4 Ni 2.67-2.69
10 Ni 0.9157 0.5972 0.2500  4 Mo 2.65-2.70, 4 Ni 2.67-2.69
11 Mo 0.1964 0.3665 0.0811  3 N 2.08-2.12
12 Mo 0.3147 0.4630 0.4193  3 N 2.07-2.13
13 Mo 0.3665 0.1964 0.5811  3 N 2.08-2.12
14 Mo 0.4630 0.3147 0.9193  3 N 2.07-2.13
15 Mo 0.5370 0.6853 0.0807  3 N 2.07-2.13
16 Mo 0.6335 0.8036 0.4189  3 N 2.08-2.12
17 Mo 0.6853 0.5370 0.5807  3 N 2.07-2.13
18 Mo 0.8036 0.6335 0.9189  3 N 2.08-2.12
19 N 0.0000 0.5000 0.5000  4 Mo 2.07-2.08
20 N 0.1514 0.6954 0.9997  4 Mo 2.10-2.13, 2 Lu 2.28-2.29
21 N 0.3046 0.8486 0.5003  4 Mo 2.10-2.13, 2 Lu 2.28-2.29
22 N 0.5000 0.0000 0.0000  4 Mo 2.07-2.08
23 N 0.6954 0.1514 0.4997  4 Mo 2.10-2.13, 2 Lu 2.28-2.29
24 N 0.8486 0.3046 0.0003  4 Mo 2.10-2.13, 2 Lu 2.28-2.29


No. 5
Material: Lu4Ni3Mo2N3
Method: DFT, PBE
State: optimized geometry

Cell lengths 5.6549, 5.6549, 13.1232 Å; angles 102.49, 102.49, 60.26 degrees
With the nearest neighbours (Å) after each atom.
Atoms (fractional coordinates):
1 Lu 0.0375 0.2019 0.1117  3 N 2.34-2.37
2 Lu 0.1225 0.2993 0.3885  3 N 2.32-2.39
3 Lu 0.2019 0.0375 0.6117  3 N 2.34-2.37
4 Lu 0.2993 0.1225 0.8885  3 N 2.32-2.39
5 Lu 0.7007 0.8775 0.1115  3 N 2.32-2.39
6 Lu 0.7981 0.9625 0.3883  3 N 2.34-2.37
7 Lu 0.8775 0.7007 0.6115  3 N 2.32-2.39
8 Lu 0.9625 0.7981 0.8883  3 N 2.34-2.37
9 Ni 0.1628 0.8372 0.2500  2 Ni 2.42, 2 Mo 2.65
10 Ni 0.3451 0.4076 0.7513  2 Ni 2.42-2.43, 2 Mo 2.59-2.63
11 Ni 0.4076 0.3451 0.2513  2 Ni 2.42-2.43, 2 Mo 2.59-2.63
12 Ni 0.5924 0.6549 0.7487  2 Ni 2.42-2.43, 2 Mo 2.59-2.63
13 Ni 0.6549 0.5924 0.2487  2 Ni 2.42-2.43, 2 Mo 2.59-2.63
14 Ni 0.8372 0.1628 0.7500  2 Ni 2.42, 2 Mo 2.65
15 Mo 0.3609 0.5240 0.0751  3 N 2.12-2.13
16 Mo 0.4760 0.6391 0.4249  3 N 2.12-2.13
17 Mo 0.5240 0.3609 0.5751  3 N 2.12-2.13
18 Mo 0.6391 0.4760 0.9249  3 N 2.12-2.13
19 N 0.0000 0.5000 0.0000  2 Mo 2.12, 2 Lu 2.37
20 N 0.1619 0.6688 0.4996  2 Mo 2.13, 4 Lu 2.32-2.36
21 N 0.3312 0.8381 0.0004  2 Mo 2.13, 4 Lu 2.32-2.36
22 N 0.5000 0.0000 0.5000  2 Mo 2.12, 2 Lu 2.37
23 N 0.6688 0.1619 0.9996  2 Mo 2.13, 4 Lu 2.32-2.36
24 N 0.8381 0.3312 0.5004  2 Mo 2.13, 4 Lu 2.32-2.36


No. 6
Material: Lu4Mo2Pb3N3
Method: DFT, PBE
State: optimized geometry

Cell lengths 5.9323, 5.9323, 14.6927 Å; angles 100.66, 100.66, 60.13 degrees
With the nearest neighbours (Å) after each atom.
Atoms (fractional coordinates):
1 Lu 0.0157 0.2034 0.0832  3 N 2.28-2.30
2 Lu 0.1521 0.3047 0.4169  3 N 2.28-2.30
3 Lu 0.2034 0.0157 0.5832  3 N 2.28-2.30
4 Lu 0.3047 0.1521 0.9169  3 N 2.28-2.30
5 Lu 0.6953 0.8479 0.0831  3 N 2.28-2.30
6 Lu 0.7966 0.9843 0.4168  3 N 2.28-2.30
7 Lu 0.8479 0.6953 0.5831  3 N 2.28-2.30
8 Lu 0.9843 0.7966 0.9168  3 N 2.28-2.30
9 Mo 0.3851 0.5203 0.0689  3 N 2.22-2.37
10 Mo 0.4797 0.6149 0.4311  3 N 2.22-2.37
11 Mo 0.5203 0.3851 0.5689  3 N 2.22-2.37
12 Mo 0.6149 0.4797 0.9311  3 N 2.22-2.37
13 Pb 0.1074 0.8926 0.2500  4 Lu 3.14-3.20, 2 Pb 3.19, 2 Mo 3.24
14 Pb 0.2716 0.4159 0.7467  4 Lu 3.11-3.17, 2 Mo 3.16-3.17, 2 Pb 3.19
15 Pb 0.4159 0.2716 0.2467  4 Lu 3.11-3.17, 2 Mo 3.16-3.17, 2 Pb 3.19
16 Pb 0.5841 0.7284 0.7533  4 Lu 3.11-3.17, 2 Mo 3.16-3.17, 2 Pb 3.19
17 Pb 0.7284 0.5841 0.2533  4 Lu 3.11-3.17, 2 Mo 3.16-3.17, 2 Pb 3.19
18 Pb 0.8926 0.1074 0.7500  4 Lu 3.14-3.20, 2 Pb 3.19, 2 Mo 3.24
19 N 0.0000 0.5000 0.0000  4 Lu 2.28, 2 Mo 2.37
20 N 0.1478 0.6761 0.4997  2 Mo 2.22, 4 Lu 2.29-2.30
21 N 0.3239 0.8522 0.0003  2 Mo 2.22, 4 Lu 2.29-2.30
22 N 0.5000 0.0000 0.5000  4 Lu 2.28, 2 Mo 2.37
23 N 0.6761 0.1478 0.9997  2 Mo 2.22, 4 Lu 2.29-2.30
24 N 0.8522 0.3239 0.5003  2 Mo 2.22, 4 Lu 2.29-2.30


Number 1: energy -33.5 eV/cell. Number 2: energy -27.5 eV/cell. Number 3: energy -94.7 eV/cell. Number 4: energy -200.0 eV/cell. Number 5: energy -180.0 eV/cell. Number 6: energy -168.5 eV/cell.